Density functional theory data (PBE) for a relaxed HfTlAg2 crystal.

Cell lengths 3.617, 3.617, 6.449 Å; angles 90.00, 90.00, 90.00 degrees
Atoms (fractional coordinates):
1 Hf 0.000 0.000 0.000
2 Tl 0.000 0.000 0.500
3 Ag 0.500 0.500 0.227
4 Ag 0.500 0.500 0.773

Values from the calculation:
The formation energy is 0.127 eV/atom. As for the theoretical density: 11780 kg/m³. The calculation puts the density of states at the Fermi level at 2.81 states/eV per cell. The calculation puts the energy above the lowest structure with this stoichiometry at 0.00 kJ/mol of atoms.

=====

Density functional theory data (PBE) for a relaxed HfTl2Ag2 crystal.

Cell lengths 8.103, 8.103, 3.375 Å; angles 90.00, 90.00, 90.00 degrees
Atoms (fractional coordinates):
1 Hf 0.000 0.000 0.000
2 Hf 0.500 0.500 0.000
3 Tl 0.179 0.321 0.500
4 Tl 0.321 0.821 0.500
5 Tl 0.679 0.179 0.500
6 Tl 0.821 0.679 0.500
7 Ag 0.122 0.622 0.000
8 Ag 0.378 0.122 0.000
9 Ag 0.622 0.878 0.000
10 Ag 0.878 0.378 0.000

Values from the calculation:
The formation energy is 0.315 eV/atom. As for the theoretical density: 12035 kg/m³. The calculation puts the density of states at the Fermi level at 10.22 states/eV per cell.